A relaxed Pr4Tl5Hg crystal, computed with PBE-GGA.

Values from the calculation:
Calculated volume ... 32.6 Å³/atom
Space-group type ... No. 59
Total DFT energy (no corrections) ... -3.227 eV/atom
Total magnetic moment ... 0.00 μB per cell

Lattice parameters (Å, degrees): 8.4426 10.5991 7.2849 90.00 90.00 90.00
Last column: nearest neighbours and their distance in Å.
Element x y z (fractional)
Pr 0.0159 0.2500 0.2111  5 Tl 3.14-3.51, 1 Hg 3.17
Pr 0.2500 0.5528 0.4463  1 Hg 3.30, 5 Tl 3.31-3.36
Pr 0.2500 0.9472 0.4463  1 Hg 3.30, 5 Tl 3.31-3.36
Pr 0.4841 0.2500 0.2111  5 Tl 3.14-3.51, 1 Hg 3.17
Pr 0.5159 0.7500 0.7889  5 Tl 3.14-3.51, 1 Hg 3.17
Pr 0.7500 0.0528 0.5537  1 Hg 3.30, 5 Tl 3.31-3.36
Pr 0.7500 0.4472 0.5537  1 Hg 3.30, 5 Tl 3.31-3.36
Pr 0.9841 0.7500 0.7889  5 Tl 3.14-3.51, 1 Hg 3.17
Tl 0.0673 0.0617 0.8201  3 Tl 3.08-3.41, 1 Hg 3.20, 3 Pr 3.31-3.38
Tl 0.0673 0.4383 0.8201  3 Tl 3.08-3.41, 1 Hg 3.20, 3 Pr 3.31-3.38
Tl 0.2500 0.7500 0.0896  4 Pr 3.14-3.33, 4 Tl 3.41
Tl 0.4327 0.0617 0.8201  3 Tl 3.08-3.41, 1 Hg 3.20, 3 Pr 3.31-3.38
Tl 0.4327 0.4383 0.8201  3 Tl 3.08-3.41, 1 Hg 3.20, 3 Pr 3.31-3.38
Tl 0.5673 0.5617 0.1799  3 Tl 3.08-3.41, 1 Hg 3.20, 3 Pr 3.31-3.38
Tl 0.5673 0.9383 0.1799  3 Tl 3.08-3.41, 1 Hg 3.20, 3 Pr 3.31-3.38
Tl 0.7500 0.2500 0.9104  4 Pr 3.14-3.33, 4 Tl 3.41
Tl 0.9327 0.5617 0.1799  3 Tl 3.08-3.41, 1 Hg 3.20, 3 Pr 3.31-3.38
Tl 0.9327 0.9383 0.1799  3 Tl 3.08-3.41, 1 Hg 3.20, 3 Pr 3.31-3.38
Hg 0.2500 0.2500 0.5505  4 Pr 3.17-3.30, 4 Tl 3.20
Hg 0.7500 0.7500 0.4495  4 Pr 3.17-3.30, 4 Tl 3.20



A relaxed RbNa4Se4 crystal, computed with PBE-GGA.

Values from the calculation:
Uncorrected formation energy ... -18.4 kcal/mol of atoms
Calculated volume ... 30.7 Å³/atom
Space-group type ... No. 86
Total DFT energy (no corrections) ... -3.040 eV/atom
Total magnetic moment ... 0.00 μB per cell

Lattice parameters (Å, degrees): 9.7046 9.7046 5.8733 90.00 90.00 90.00
Last column: nearest neighbours and their distance in Å.
Element x y z (fractional)
Rb 0.2500 0.2500 0.2500  4 Se 3.59, 4 Na 3.97
Rb 0.7500 0.7500 0.7500  4 Se 3.59, 4 Na 3.97
Na 0.1044 0.6263 0.1368  5 Se 2.93-3.08
Na 0.1263 0.8956 0.6368  5 Se 2.93-3.08
Na 0.3737 0.6044 0.6368  5 Se 2.93-3.08
Na 0.3956 0.8737 0.1368  5 Se 2.93-3.08
Na 0.6044 0.1263 0.8632  5 Se 2.93-3.08
Na 0.6263 0.3956 0.3632  5 Se 2.93-3.08
Na 0.8737 0.1044 0.3632  5 Se 2.93-3.08
Na 0.8956 0.3737 0.8632  5 Se 2.93-3.08
Se 0.0722 0.5831 0.6342  1 Se 2.66, 2 Na 2.93-2.97
Se 0.0831 0.9278 0.1342  1 Se 2.66, 2 Na 2.93-2.97
Se 0.4169 0.5722 0.1342  1 Se 2.66, 2 Na 2.93-2.97
Se 0.4278 0.9169 0.6342  1 Se 2.66, 2 Na 2.93-2.97
Se 0.5722 0.0831 0.3658  1 Se 2.66, 2 Na 2.93-2.97
Se 0.5831 0.4278 0.8658  1 Se 2.66, 2 Na 2.93-2.97
Se 0.9169 0.0722 0.8658  1 Se 2.66, 2 Na 2.93-2.97
Se 0.9278 0.4169 0.3658  1 Se 2.66, 2 Na 2.93-2.97



A relaxed YGa2H2 crystal, computed with PBE-GGA.

Values from the calculation:
Calculated volume ... 15.5 Å³/atom
Space-group type ... No. 127
Total DFT energy (no corrections) ... -4.074 eV/atom
Total magnetic moment ... 0.00 μB per cell

Lattice parameters (Å, degrees): 6.0251 6.0251 4.2830 90.00 90.00 90.00
Last column: nearest neighbours and their distance in Å.
Element x y z (fractional)
Y 0.0000 0.0000 0.0000  4 H 2.13
Y 0.5000 0.5000 0.0000  4 H 2.13
Ga 0.2502 0.2498 0.5000  2 H 2.14
Ga 0.2498 0.7498 0.5000  2 H 2.14
Ga 0.7502 0.2502 0.5000  2 H 2.14
Ga 0.7498 0.7502 0.5000  2 H 2.14
H 0.2492 0.2508 0.0000  2 Y 2.13, 2 Ga 2.14
H 0.2508 0.7508 0.0000  2 Y 2.13, 2 Ga 2.14
H 0.7492 0.2492 0.0000  2 Y 2.13, 2 Ga 2.14
H 0.7508 0.7492 0.0000  2 Y 2.13, 2 Ga 2.14